[1]
# TbGdZnRh

A geometry-optimized TbGdZnRh structure (GGA-PBE, Alexandria via LeMat-Bulk).

Symmetry ... F-43m (216)
ΔH_f (0 K) ... -576.3 meV per atom

Unit cell a=4.972 b=4.972 c=4.972 alpha=60.00 beta=60.00 gamma=60.00
Sites, in units of the cell vectors:
1 Rh 0.250 0.250 0.250
2 Zn 0.750 0.750 0.750
3 Gd 0.000 0.000 0.000
4 Tb 0.500 0.500 0.500


[2]
# GdTeRh

A geometry-optimized GdTeRh structure (GGA-PBE, Alexandria via LeMat-Bulk).

Symmetry ... P3m1 (156)
Total DFT energy (no corrections) ... -27.66 eV/cell

Unit cell a=3.934 b=4.489 c=4.489 alpha=120.00 beta=90.00 gamma=90.00
Sites, in units of the cell vectors:
1 Rh 0.130 0.000 0.000
2 Gd 0.679 0.667 0.333
3 Te 0.191 0.333 0.667


[3]
# GdTeRh2

A geometry-optimized GdTeRh2 structure (GGA-PBE, Alexandria via LeMat-Bulk).

Symmetry ... P4/mmm (123)
Total DFT energy (no corrections) ... -34.30 eV/cell

Unit cell a=3.875 b=4.457 c=4.457 alpha=90.00 beta=90.00 gamma=90.00
Sites, in units of the cell vectors:
1 Rh 0.000 0.000 0.500
2 Rh 0.000 0.500 0.000
3 Gd 0.500 0.500 0.500
4 Te 0.500 0.000 0.000


[4]
# GdThRh2

A geometry-optimized GdThRh2 structure (GGA-PBE, Alexandria via LeMat-Bulk).

Symmetry ... R-3m (166)
Energy above the lowest structure with this stoichiometry ... 12 meV/atom
ΔH_f (0 K) ... -777.6 meV per atom

Unit cell a=4.045 b=4.045 c=7.082 alpha=73.41 beta=73.41 gamma=60.00
Sites, in units of the cell vectors:
1 Gd 0.000 0.000 0.000
2 Rh 0.752 0.752 0.744
3 Rh 0.248 0.248 0.256
4 Th 0.500 0.500 0.500


[5]
# Gd2ThRh

A geometry-optimized Gd2ThRh structure (GGA-PBE, Alexandria via LeMat-Bulk).

Symmetry ... P4/mmm (123)
Energy above the lowest structure with this stoichiometry ... 0 meV/atom
ΔH_f (0 K) ... -351.6 meV per atom

Unit cell a=3.518 b=3.518 c=8.601 alpha=90.00 beta=90.00 gamma=90.00
Sites, in units of the cell vectors:
1 Gd 0.000 0.000 0.808
2 Gd 0.000 0.000 0.192
3 Rh 0.500 0.500 0.000
4 Th 0.500 0.500 0.500


[6]
# GdThRh4

A geometry-optimized GdThRh4 structure (GGA-PBE, Alexandria via LeMat-Bulk).

Symmetry ... F-43m (216)
ΔH_f (0 K) ... -744.8 meV per atom

Unit cell a=5.394 b=5.394 c=5.394 alpha=60.00 beta=60.00 gamma=60.00
Sites, in units of the cell vectors:
1 Gd 0.000 0.000 0.000
2 Rh 0.625 0.625 0.124
3 Rh 0.625 0.124 0.625
4 Rh 0.625 0.625 0.625
5 Rh 0.124 0.625 0.625
6 Th 0.250 0.250 0.250


[7]
# GdThRh2

A geometry-optimized GdThRh2 structure (GGA-PBE, Alexandria via LeMat-Bulk).

Symmetry ... Fm-3m (225)
Energy above the lowest structure with this stoichiometry ... 10 meV/atom
ΔH_f (0 K) ... -779.5 meV per atom

Unit cell a=4.974 b=4.974 c=4.974 alpha=60.00 beta=60.00 gamma=60.00
Sites, in units of the cell vectors:
1 Gd 0.500 0.500 0.500
2 Rh 0.250 0.250 0.250
3 Rh 0.750 0.750 0.750
4 Th 0.000 0.000 0.000


[8]
# GdThRh

A geometry-optimized GdThRh structure (GGA-PBE, Alexandria via LeMat-Bulk).

Symmetry ... P3m1 (156)
Energy above the lowest structure with this stoichiometry ... 159 meV/atom
ΔH_f (0 K) ... -344.2 meV per atom

Unit cell a=4.054 b=4.668 c=4.668 alpha=120.00 beta=90.00 gamma=90.00
Sites, in units of the cell vectors:
1 Gd 0.616 0.667 0.333
2 Rh 0.327 0.333 0.667
3 Th 0.057 0.000 0.000


[9]
# GdThRh2

A geometry-optimized GdThRh2 structure (GGA-PBE, Alexandria via LeMat-Bulk).

Symmetry ... P4/mmm (123)
Energy above the lowest structure with this stoichiometry ... 0 meV/atom
ΔH_f (0 K) ... -789.3 meV per atom

Unit cell a=3.537 b=4.960 c=4.960 alpha=90.00 beta=90.00 gamma=90.00
Sites, in units of the cell vectors:
1 Gd 0.500 0.000 0.000
2 Rh 0.000 0.000 0.500
3 Rh 0.000 0.500 0.000
4 Th 0.500 0.500 0.500


[10]
# GdThRh

A geometry-optimized GdThRh structure (GGA-PBE, Alexandria via LeMat-Bulk).

Symmetry ... F-43m (216)
Energy above the lowest structure with this stoichiometry ... 83 meV/atom
ΔH_f (0 K) ... -420.5 meV per atom

Unit cell a=4.914 b=4.914 c=4.914 alpha=60.00 beta=60.00 gamma=60.00
Sites, in units of the cell vectors:
1 Gd 0.000 0.000 0.000
2 Rh 0.250 0.250 0.250
3 Th 0.500 0.500 0.500


[11]
# GdThRh

A geometry-optimized GdThRh structure (GGA-PBE, Alexandria via LeMat-Bulk).

Symmetry ... I4mm (107)
Energy above the lowest structure with this stoichiometry ... 0 meV/atom
ΔH_f (0 K) ... -503.2 meV per atom

Unit cell a=3.636 b=3.636 c=6.293 alpha=106.79 beta=106.79 gamma=90.00
Sites, in units of the cell vectors:
1 Gd 0.014 0.014 0.028
2 Rh 0.683 0.683 0.365
3 Th 0.304 0.304 0.607


[12]
# Gd2ThRh

A geometry-optimized Gd2ThRh structure (GGA-PBE, Alexandria via LeMat-Bulk).

Symmetry ... R-3m (166)
Energy above the lowest structure with this stoichiometry ... 257 meV/atom
ΔH_f (0 K) ... -94.3 meV per atom

Unit cell a=3.600 b=3.600 c=10.787 alpha=80.39 beta=80.39 gamma=60.00
Sites, in units of the cell vectors:
1 Gd 0.109 0.109 0.673
2 Gd 0.891 0.891 0.327
3 Rh 0.500 0.500 0.500
4 Th 0.000 0.000 0.000


Number 1: ρ 9.25 g cm⁻³. Number 2: ρ 9.38 g cm⁻³. Number 3: ρ 10.59 g cm⁻³. Number 4: ρ 10.43 g cm⁻³. Number 5: ρ 10.13 g cm⁻³. Number 6: ρ 11.99 g cm⁻³. Number 7: ρ 11.36 g cm⁻³. Number 8: ρ 10.68 g cm⁻³. Number 9: ρ 11.35 g cm⁻³. Number 10: ρ 9.74 g cm⁻³. Number 11: ρ 10.76 g cm⁻³. Number 12: ρ 9.08 g cm⁻³.